[1]
VASP calculation (PBE) on a geometry-optimized CaBeIr2 structure.

Values from the calculation:
Space-group type   No. 47
E_tot   -5.74 eV/atom
Spin magnetization   0.0000 μB/atom
Density of states at the Fermi level   1.79 states/eV per cell

Cell lengths 2.9562, 4.8031, 4.3523 Å; angles 90.00, 90.00, 90.00 degrees
Last column: nearest neighbours and their distance in Å.
Sites, in units of the cell vectors:
Ir (0.0000, 0.0000, 0.0000)  4 Be 2.63, 4 Ir 2.82
Ir (0.5000, 0.5000, 0.0000)  4 Ca 2.63, 4 Ir 2.82
Ca (0.0000, 0.5000, 0.5000)  4 Ir 2.63, 4 Be 2.82
Be (0.5000, 0.0000, 0.5000)  4 Ir 2.63, 4 Ca 2.82

[2]
VASP calculation (PBE) on a geometry-optimized CaBeIr2 structure.

Values from the calculation:
Space-group type   No. 12
E_tot   -5.99 eV/atom
Spin magnetization   0.0000 μB/atom
Density of states at the Fermi level   2.30 states/eV per cell

Cell lengths 4.8511, 4.8511, 5.1086 Å; angles 68.71, 68.71, 34.64 degrees
Last column: nearest neighbours and their distance in Å.
Sites, in units of the cell vectors:
Ir (0.4603, 0.4603, 0.5718)  2 Be 2.32
Ir (0.0397, 0.0397, 0.9282)  2 Be 2.32
Ca (0.2500, 0.2500, 0.2500)  2 Ca 2.89, 4 Be 2.93, 6 Ir 2.94-2.99
Be (0.7500, 0.7500, 0.7500)  4 Ir 2.32

[3]
VASP calculation (PBE) on a geometry-optimized CaBeIr structure.

Values from the calculation:
Space-group type   No. 216
E_tot   -3.78 eV/atom
Spin magnetization   0.0000 μB/atom
Density of states at the Fermi level   1.84 states/eV per cell
E above lowest polymorph   1426 meV per atom

Cell lengths 4.4686, 4.4686, 4.4686 Å; angles 60.00, 60.00, 60.00 degrees
Last column: nearest neighbours and their distance in Å.
Sites, in units of the cell vectors:
Be (0.5000, 0.5000, 0.5000)  4 Ca 2.74
Ir (0.0000, 0.0000, 0.0000)  4 Ca 2.74
Ca (0.7500, 0.7500, 0.7500)  4 Be 2.74, 4 Ir 2.74

[4]
VASP calculation (PBE) on a geometry-optimized CaBeIr2 structure.

Values from the calculation:
Space-group type   No. 6
E_tot   -5.93 eV/atom
Spin magnetization   0.0000 μB/atom
Density of states at the Fermi level   2.54 states/eV per cell

Cell lengths 4.3450, 2.9235, 5.4171 Å; angles 76.04, 90.00, 90.00 degrees
Last column: nearest neighbours and their distance in Å.
Sites, in units of the cell vectors:
Ir (0.0000, 0.9961, 0.1071)  2 Be 2.25
Ir (0.5000, 0.4270, 0.2406)  2 Be 2.39
Ca (0.5000, 0.7247, 0.7202)  3 Ir 2.74-2.93, 2 Ca 2.92, 4 Be 3.02-3.03
Be (0.0000, 0.3522, 0.4321)  4 Ir 2.25-2.39

[5]
VASP calculation (PBE) on a geometry-optimized CaBeIr2 structure.

Values from the calculation:
Space-group type   No. 44
E_tot   -5.82 eV/atom
Spin magnetization   0.0000 μB/atom
Density of states at the Fermi level   2.93 states/eV per cell

Cell lengths 5.4364, 5.4364, 5.4364 Å; angles 148.83, 130.28, 59.86 degrees
Last column: nearest neighbours and their distance in Å.
Sites, in units of the cell vectors:
Ir (0.9739, 0.9739, 0.0000)  4 Ir 2.68-2.92, 4 Be 2.77
Ir (0.7350, 0.2350, 0.5000)  2 Be 2.38
Ca (0.2552, 0.7552, 0.5000)  6 Ir 2.72-3.03, 2 Ca 2.92, 2 Be 3.02
Be (0.5360, 0.5360, 0.0000)  2 Ir 2.38

[6]
VASP calculation (PBE) on a geometry-optimized CaBeIr structure.

Values from the calculation:
Space-group type   No. 14
E_tot   -5.19 eV/atom
Spin magnetization   0.0000 μB/atom
Density of states at the Fermi level   4.15 states/eV per cell
E above lowest polymorph   21 meV per atom

Cell lengths 5.6072, 5.6802, 7.4135 Å; angles 111.37, 90.00, 90.00 degrees
Last column: nearest neighbours and their distance in Å.
Sites, in units of the cell vectors:
Be (0.1499, 0.2511, 0.5394)  3 Ir 2.17-2.26
Be (0.3501, 0.7511, 0.0394)  3 Ir 2.17-2.26
Be (0.6499, 0.2489, 0.9606)  3 Ir 2.17-2.26
Be (0.8501, 0.7489, 0.4606)  3 Ir 2.17-2.26
Ca (0.8704, 0.6895, 0.8797)  6 Be 2.91-3.25, 5 Ir 2.99-3.18
Ca (0.1296, 0.3105, 0.1203)  6 Be 2.91-3.25, 5 Ir 2.99-3.18
Ca (0.3704, 0.8105, 0.6203)  6 Be 2.91-3.25, 5 Ir 2.99-3.18
Ca (0.6296, 0.1895, 0.3797)  6 Be 2.91-3.25, 5 Ir 2.99-3.18
Ir (0.6123, 0.6030, 0.2035)  3 Be 2.17-2.26
Ir (0.8877, 0.1030, 0.7035)  3 Be 2.17-2.26
Ir (0.1123, 0.8970, 0.2965)  3 Be 2.17-2.26
Ir (0.3877, 0.3970, 0.7965)  3 Be 2.17-2.26

[7]
VASP calculation (PBE) on a geometry-optimized CaBeIr structure.

Values from the calculation:
Space-group type   No. 107
E_tot   -5.19 eV/atom
Spin magnetization   0.0000 μB/atom
Density of states at the Fermi level   1.64 states/eV per cell
E above lowest polymorph   23 meV per atom

Cell lengths 5.6000, 5.6000, 3.1309 Å; angles 73.77, 73.77, 32.47 degrees
Last column: nearest neighbours and their distance in Å.
Sites, in units of the cell vectors:
Ca (0.3278, 0.3278, 0.6722)  1 Be 2.82, 5 Ir 2.99-3.09, 4 Ca 3.13
Be (0.0541, 0.0541, 0.9459)  4 Ir 2.31
Ir (0.6181, 0.6181, 0.3819)  4 Be 2.31

[8]
VASP calculation (PBE) on a geometry-optimized Ca2BeIr structure.

Values from the calculation:
Space-group type   No. 65
E_tot   -4.03 eV/atom
Spin magnetization   0.0000 μB/atom
Density of states at the Fermi level   2.22 states/eV per cell

Cell lengths 4.8482, 4.8481, 3.4996 Å; angles 90.00, 90.00, 90.18 degrees
Last column: nearest neighbours and their distance in Å.
Sites, in units of the cell vectors:
Ca (0.5000, 0.5000, 0.0000)  4 Ir 2.99, 4 Be 2.99
Ca (0.0000, 0.0000, 0.0000)  4 Be 2.99, 4 Ir 2.99
Ir (0.5000, 0.0000, 0.5000)  8 Ca 2.99
Be (0.0000, 0.5000, 0.5000)  8 Ca 2.99

[9]
VASP calculation (PBE) on a geometry-optimized CaBe17Ir structure.

Values from the calculation:
Space-group type   No. 160
E_tot   -3.95 eV/atom
Spin magnetization   0.0000 μB/atom
Density of states at the Fermi level   5.10 states/eV per cell

Cell lengths 5.6433, 5.6433, 5.6433 Å; angles 83.02, 83.02, 83.02 degrees
Last column: nearest neighbours and their distance in Å.
Sites, in units of the cell vectors:
Be (0.9951, 0.9951, 0.5081)  10 Be 2.12-2.33
Be (0.9951, 0.5081, 0.9951)  10 Be 2.12-2.33
Be (0.6496, 0.6496, 0.1659)  9 Be 2.17-2.41
Be (0.8697, 0.3387, 0.3387)  9 Be 2.13-2.27
Be (0.0094, 0.7040, 0.2895)  8 Be 2.10-2.29
Be (0.0094, 0.2895, 0.7040)  8 Be 2.10-2.29
Be (0.0995, 0.0995, 0.0995)  7 Be 2.11-2.33
Be (0.6496, 0.1659, 0.6496)  9 Be 2.17-2.41
Be (0.9060, 0.9060, 0.9060)  4 Be 2.11-2.25
Be (0.2895, 0.7040, 0.0094)  8 Be 2.10-2.29
Be (0.7040, 0.0094, 0.2895)  8 Be 2.10-2.29
Be (0.3387, 0.8697, 0.3387)  9 Be 2.13-2.27
Be (0.3387, 0.3387, 0.8697)  9 Be 2.13-2.27
Be (0.2895, 0.0094, 0.7040)  8 Be 2.10-2.29
Be (0.7040, 0.2895, 0.0094)  8 Be 2.10-2.29
Be (0.1659, 0.6496, 0.6496)  9 Be 2.17-2.41
Be (0.5081, 0.9951, 0.9951)  10 Be 2.12-2.33
Ca (0.6560, 0.6560, 0.6560)  19 Be 2.71-2.87
Ir (0.3222, 0.3222, 0.3222)  10 Be 2.43-2.62

[10]
VASP calculation (PBE) on a geometry-optimized CaBeIr2 structure.

Values from the calculation:
Space-group type   No. 123
E_tot   -5.75 eV/atom
Spin magnetization   0.0000 μB/atom
Density of states at the Fermi level   2.66 states/eV per cell

Cell lengths 3.9148, 3.9792, 3.9792 Å; angles 90.00, 90.00, 90.00 degrees
Last column: nearest neighbours and their distance in Å.
Sites, in units of the cell vectors:
Ca (0.5000, 0.0000, 0.5000)  8 Ir 2.79, 4 Be 2.81
Be (0.5000, 0.5000, 0.0000)  8 Ir 2.79, 4 Ca 2.81
Ir (0.0000, 0.5000, 0.5000)  4 Ca 2.79, 4 Be 2.79, 4 Ir 2.81
Ir (0.0000, 0.0000, 0.0000)  4 Be 2.79, 4 Ca 2.79, 4 Ir 2.81

[11]
VASP calculation (PBE) on a geometry-optimized CaBeIr2 structure.

Values from the calculation:
Space-group type   No. 122
E_tot   -5.83 eV/atom
Spin magnetization   0.0000 μB/atom
Density of states at the Fermi level   3.41 states/eV per cell

Cell lengths 4.7268, 4.7268, 8.4307 Å; angles 73.72, 73.72, 90.00 degrees
Last column: nearest neighbours and their distance in Å.
Sites, in units of the cell vectors:
Ir (0.3750, 0.6020, 0.7500)  2 Be 2.27, 2 Ir 2.37
Ir (0.3520, 0.6250, 0.2500)  2 Be 2.27, 2 Ir 2.37
Ir (0.8750, 0.6480, 0.7500)  2 Be 2.27, 2 Ir 2.37
Ir (0.3980, 0.1250, 0.2500)  2 Be 2.27, 2 Ir 2.37
Ca (0.0000, 0.0000, 0.0000)  8 Ir 3.20-3.35, 4 Be 3.34
Ca (0.7500, 0.2500, 0.5000)  8 Ir 3.20-3.35, 4 Be 3.34
Be (0.2500, 0.7500, 0.5000)  4 Ir 2.27
Be (0.5000, 0.5000, 0.0000)  4 Ir 2.27

[12]
VASP calculation (PBE) on a geometry-optimized CaBe2NbIr structure.

Values from the calculation:
Space-group type   No. 123
E_tot   -3.76 eV/atom
Spin magnetization   0.0000 μB/atom
Density of states at the Fermi level   4.18 states/eV per cell

Cell lengths 4.3778, 4.7218, 4.3778 Å; angles 90.00, 90.00, 90.00 degrees
Last column: nearest neighbours and their distance in Å.
Sites, in units of the cell vectors:
Ca (0.0000, 0.0000, 0.0000)  4 Be 2.19, 2 Ir 2.36
Nb (0.5000, 0.5000, 0.5000)  4 Ir 3.10, 8 Be 3.22
Ir (0.0000, 0.5000, 0.0000)  2 Ca 2.36
Be (0.5000, 0.0000, 0.0000)  2 Ca 2.19
Be (0.0000, 0.0000, 0.5000)  2 Ca 2.19